! CsRbSbTe2 | Alexandria via LeMat-Bulk | PBE-GGA | optimized geometry; values from VASP
! **ρ**: 3384 kg/m³
! **Space-group type**: P4/mmm, No. 123
! **Spin magnetization**: 0.4260 μB per atom
! **Formation energy from raw total energies**: 1.52 eV/f.u.
! **Total energy**: -2.14 eV/atom
&SYSTEM
  ibrav = 0, nat = 5, ntyp = 4
/
ATOMIC_SPECIES
Cs 132.91 Cs.upf
Sb 121.76 Sb.upf
Te 127.60 Te.upf
Rb 85.47 Rb.upf
CELL_PARAMETERS angstrom
6.621 0.000 0.000
0.000 6.621 0.000
0.000 0.000 6.665
ATOMIC_POSITIONS angstrom
Cs 3.310 3.310 3.332
Sb 0.000 0.000 3.332
Te 0.000 3.310 0.000
Te 3.310 0.000 0.000
Rb 0.000 0.000 0.000